Na2CoAs2Rh: relaxed, PBE.

a b c (Å): 5.7385 5.7187 7.9518
angles (deg): 111.07 111.15 90.00
Last column: nearest neighbours and their distance in Å.
Sites, in units of the cell vectors:
As1 0.3680 0.5973 0.1947  2 Co 2.36, 2 Rh 2.50
Rh1 0.0000 0.7500 0.0000  4 As 2.50
As2 0.8267 0.0973 0.1947  2 Co 2.36, 2 Rh 2.50
Na1 0.4107 0.1729 0.3458  5 As 3.00-3.14, 2 Rh 3.08, 2 Co 3.15
Rh2 0.0000 0.2500 0.0000  4 As 2.50
As3 0.6320 0.4027 0.8053  2 Co 2.36, 2 Rh 2.50
As4 0.1733 0.9027 0.8053  2 Co 2.36, 2 Rh 2.50
Na2 0.9351 0.6729 0.3458  5 As 3.00-3.14, 2 Rh 3.08, 2 Co 3.15
Na3 0.5893 0.8271 0.6542  5 As 3.00-3.14, 2 Rh 3.08, 2 Co 3.15
Co1 0.5000 0.7500 0.0000  4 As 2.36
Co2 0.5000 0.2500 0.0000  4 As 2.36
Na4 0.0649 0.3271 0.6542  5 As 3.00-3.14, 2 Rh 3.08, 2 Co 3.15

Output
total DFT energy (no corrections) = -0.355 Ry per atom
formation energy from the elements = -430.1 meV/atom
total magnetic moment = 1.075 μB/f.u.
space-group type = Ibam
Fermi-level density of states = 6.317 states/eV per cell



NaCoAs2Rh: relaxed, PBE.

a b c (Å): 3.9038 3.9038 6.6582
angles (deg): 107.05 107.05 90.00
Last column: nearest neighbours and their distance in Å.
Sites, in units of the cell vectors:
Na1 0.0000 0.0000 0.0000  8 As 3.21
As1 0.6353 0.6353 0.2707  2 Rh 2.40, 2 Co 2.40
As2 0.3647 0.3647 0.7293  2 Co 2.40, 2 Rh 2.40
Rh1 0.2500 0.7500 0.5000  4 As 2.40
Co1 0.7500 0.2500 0.5000  4 As 2.40

Output
total DFT energy (no corrections) = -0.400 Ry per atom
formation energy from the elements = -421.7 meV/atom
total magnetic moment = 0.000 μB/f.u.
space-group type = I-4m2
Fermi-level density of states = 1.867 states/eV per cell



NaCoAsRu2: relaxed, PBE.

a b c (Å): 4.5919 4.2107 4.5919
angles (deg): 90.00 90.00 90.00
Last column: nearest neighbours and their distance in Å.
Sites, in units of the cell vectors:
As1 0.5000 0.5000 0.5000  8 Ru 3.12, 4 Co 3.25
Ru1 0.5000 0.0000 0.0000  2 Na 2.30
Co1 0.0000 0.5000 0.0000  2 Na 2.11
Na1 0.0000 0.0000 0.0000  2 Co 2.11, 4 Ru 2.30
Ru2 0.0000 0.0000 0.5000  2 Na 2.30

Output
total DFT energy (no corrections) = -0.309 Ry per atom
formation energy from the elements = 2125.7 meV/atom
total magnetic moment = 4.424 μB/f.u.
space-group type = P4/mmm
Fermi-level density of states = 9.103 states/eV per cell



NaSc2CoAs: relaxed, PBE.

a b c (Å): 4.8706 4.5117 4.8706
angles (deg): 90.00 90.00 90.00
Last column: nearest neighbours and their distance in Å.
Sites, in units of the cell vectors:
Sc1 0.5000 0.0000 0.0000  2 Co 2.44
Co1 0.0000 0.0000 0.0000  2 As 2.26, 4 Sc 2.44
Na1 0.5000 0.5000 0.5000  8 Sc 3.32, 4 As 3.44
As1 0.0000 0.5000 0.0000  2 Co 2.26
Sc2 0.0000 0.0000 0.5000  2 Co 2.44

Output
total DFT energy (no corrections) = -0.389 Ry per atom
formation energy from the elements = -139.8 meV/atom
total magnetic moment = 0.000 μB/f.u.
space-group type = P4/mmm
Fermi-level density of states = 4.799 states/eV per cell